Density functional theory data (GGA-PBE) for crystalline Zn6SnO8 at its relaxed geometry.

Cell lengths 6.1085, 6.1085, 6.1085 Å; angles 60.00, 60.00, 60.00 degrees
Fractional coordinates of all 15 atoms:
O 0.7607 0.7607 0.2393
O 0.7607 0.2393 0.2393
O 0.2393 0.7607 0.2393
O 0.2500 0.2500 0.2500
O 0.7500 0.7500 0.7500
O 0.2393 0.2393 0.7607
O 0.7607 0.2393 0.7607
O 0.2393 0.7607 0.7607
Sn 0.0000 0.0000 0.0000
Zn 0.5000 0.0000 0.0000
Zn 0.0000 0.5000 0.0000
Zn 0.5000 0.5000 0.0000
Zn 0.5000 0.0000 0.5000
Zn 0.0000 0.5000 0.5000
Zn 0.0000 0.0000 0.5000

Computed properties:
Total DFT energy (no corrections) in eV/cell: -71.026
Calculated density in g/cm3: 6.6